Model 1:
DFT (GGA-PBE) results for a relaxed AcDyHf crystal.

Lattice parameters (Å, degrees): 7.6284 7.6284 7.6284 90.00 90.00 90.00
Space group F-43m (No. 216)
Asymmetric unit:
Ac1 0.0000 0.0000 0.0000 [4 per cell]
Dy1 0.2500 0.2500 0.7500 [4 per cell]
Hf1 0.2500 0.2500 0.2500 [4 per cell]

Results
**Mass density**: 8.499 Mg/m³
**Size of the total moment**: 0.014 μB per cell



Model 2:
DFT (GGA-PBE) results for a relaxed AcDyHf crystal.

Lattice parameters (Å, degrees): 7.6007 7.6007 7.6007 90.00 90.00 90.00
Space group F-43m (No. 216)
Asymmetric unit:
Ac1 0.0000 0.0000 0.0000 [4 per cell]
Dy1 0.0000 0.0000 0.5000 [4 per cell]
Hf1 0.2500 0.2500 0.2500 [4 per cell]

Results
**Mass density**: 8.592 Mg/m³
**Size of the total moment**: 7.470 μB per cell



Stability verdict: model 2, ahead by 32.3 kJ/mol of atoms



Model 1:
DFT (GGA-PBE) results for a relaxed LiAcDy crystal.

Lattice parameters (Å, degrees): 7.4650 7.4650 7.4650 90.00 90.00 90.00
Space group F-43m (No. 216)
Asymmetric unit:
Li1 0.0000 0.0000 0.0000 [4 per cell]
Ac1 0.2500 0.2500 0.7500 [4 per cell]
Dy1 0.2500 0.2500 0.2500 [4 per cell]

Results
**Mass density**: 6.330 Mg/m³
**Size of the total moment**: 0.085 μB per cell



Model 2:
DFT (GGA-PBE) results for a relaxed LiAcDy crystal.

Lattice parameters (Å, degrees): 7.5467 7.5467 7.5467 90.00 90.00 90.00
Space group F-43m (No. 216)
Asymmetric unit:
Li1 0.0000 0.0000 0.0000 [4 per cell]
Ac1 0.2500 0.2500 0.7500 [4 per cell]
Dy1 0.0000 0.0000 0.5000 [4 per cell]

Results
**Mass density**: 6.127 Mg/m³
**Size of the total moment**: 0.077 μB per cell



Stability verdict: model 1, ahead by 40.1 kJ/mol of atoms